{"formula": "HfZr2Tl2", "functional": "PBE", "state": "optimized geometry", "cell": [[4.199, 0.000, 0.000], [0.000, 4.199, 0.000], [2.100, 2.100, 7.304]], "species": ["Tl", "Tl", "Hf", "Zr", "Zr"], "fractional_positions": [[0.750, 0.250, 0.500], [0.250, 0.750, 0.500], [0.000, 0.000, 0.000], [0.407, 0.407, 0.187], [0.593, 0.593, 0.813]], "sg": "I4/mmm", "vol_a3_per_cell": 129, "total_energy_ev_per_atom": -5.8391, "delta_e_f_ev_per_fu": 2.59, "e_above_lowest_polymorph_mev_per_atom": 470, "dos_ef_per_ev_fu": 6.7}